VASP calculation (PBE-GGA) on an optimized crystal structure of LaCeNd2Tl4.

## Properties
energy of formation from the pure elements	-2.8	eV/f.u.

abc: 9.623 9.623 9.623
angles: 33.56 33.56 33.56
Atoms (fractional coordinates):
1 La 0.000 0.000 0.000
2 Ce 0.500 0.500 0.500
3 Nd 0.250 0.250 0.250
4 Nd 0.750 0.750 0.750
5 Tl 0.126 0.126 0.126
6 Tl 0.376 0.376 0.376
7 Tl 0.624 0.624 0.624
8 Tl 0.874 0.874 0.874


VASP calculation (PBE-GGA) on an optimized crystal structure of LaCeNd2Tm.

## Properties
energy of formation from the pure elements	1.3	eV/f.u.

abc: 8.668 6.259 6.246
angles: 90.00 90.91 90.00
Atoms (fractional coordinates):
1 La 0.000 0.000 0.000
2 La 0.000 0.000 0.500
3 Ce 0.000 0.464 0.250
4 Ce 0.000 0.536 0.750
5 Nd 0.310 0.305 0.745
6 Nd 0.310 0.695 0.245
7 Nd 0.690 0.305 0.755
8 Nd 0.690 0.695 0.255
9 Tm 0.500 0.179 0.250
10 Tm 0.500 0.821 0.750